(1)
Tb2Dy2Th3 | PBE | relaxed

```
14
Lattice="17.4385 0.0000 0.0000 0.0000 3.4728 0.0000 -3.8927 0.0000 7.5047" Properties=species:S:1:pos:R:3 pbc="T T T"
Tb -0.3703 0.0000 3.0296
Tb 5.1969 1.7364 4.4751
Tb 8.3489 1.7364 3.0296
Tb 13.9161 0.0000 4.4751
Dy -0.6710 1.7364 6.2657
Dy 5.4975 0.0000 1.2389
Dy 8.0483 0.0000 6.2657
Dy 14.2168 1.7364 1.2389
Th 0.0000 1.7364 0.0000
Th 2.5675 1.7364 2.2021
Th 2.2590 0.0000 5.3026
Th 8.7193 0.0000 0.0000
Th 11.2868 0.0000 2.2021
Th 10.9783 1.7364 5.3026
```

Computed properties:
- Energy of formation from the pure elements: 137 meV/atom
- Calculated density: 9.8 Mg/m³
- Total moment: 0.00 μB/cell
- Space group: C2/m (12)
- E: -0.4175 Ry per atom
- Energy above the lowest structure with this stoichiometry: 0.0134 eV/atom
- DOS(E_F): 20.9 states/eV per cell


(2)
PmHfPdRh | PBE | relaxed

```
16
Lattice="6.8495 0.0000 0.0000 0.0000 6.8495 0.0000 0.0000 0.0000 6.8495" Properties=species:S:1:pos:R:3 pbc="T T T"
Pm 0.0000 0.0000 0.0000
Pm 0.0000 3.4248 3.4248
Pm 3.4248 0.0000 3.4248
Pm 3.4248 3.4248 0.0000
Hf 0.0000 0.0000 3.4248
Hf 0.0000 3.4248 0.0000
Hf 3.4248 0.0000 0.0000
Hf 3.4248 3.4248 3.4248
Pd 1.7124 1.7124 5.1371
Pd 1.7124 5.1371 1.7124
Pd 5.1371 1.7124 1.7124
Pd 5.1371 5.1371 5.1371
Rh 1.7124 1.7124 1.7124
Rh 1.7124 5.1371 5.1371
Rh 5.1371 1.7124 5.1371
Rh 5.1371 5.1371 1.7124
```

Computed properties:
- Energy of formation from the pure elements: -614 meV/atom
- Calculated density: 11.0 Mg/m³
- Total moment: 0.00 μB/cell
- Space group: F-43m (216)
- E: -0.5458 Ry per atom
- DOS(E_F): 22.3 states/eV per cell


(3)
Ac2ZnSiRh6 | PBE | relaxed

```
10
Lattice="-3.2671 3.2728 4.6232 3.2671 -3.2728 4.6232 3.2671 3.2728 -4.6232" Properties=species:S:1:pos:R:3 pbc="T T T"
Ac 0.0000 0.0000 2.3118
Ac 0.0000 0.0000 6.9345
Zn 0.0000 3.2728 0.0000
Si 3.2671 0.0000 0.0000
Rh 1.6854 1.5833 0.0000
Rh 3.2671 0.0000 2.2376
Rh 4.8488 1.5833 0.0000
Rh -1.5817 1.6895 4.6232
Rh 0.0000 3.2728 2.3856
Rh 1.5817 1.6895 4.6232
```

Computed properties:
- Calculated density: 9.8 Mg/m³
- Total moment: 0.00 μB/cell
- Space group: Immm (71)
- Formation energy without anion corrections: -0.425 eV per atom
- E: -0.4650 Ry per atom
- DOS(E_F): 11.5 states/eV per cell


(4)
LiMn2GeOs | PBE | relaxed

```
5
Lattice="4.0501 0.0000 0.0000 0.0000 4.0501 0.0000 0.0000 0.0000 4.1184" Properties=species:S:1:pos:R:3 pbc="T T T"
Li 0.0000 0.0000 0.0000
Mn 0.0000 2.0250 0.0000
Mn 2.0250 0.0000 0.0000
Ge 0.0000 0.0000 2.0592
Os 2.0250 2.0250 2.0592
```

Computed properties:
- Energy of formation from the pure elements: 989 meV/atom
- Calculated density: 9.3 Mg/m³
- Total moment: 6.21 μB/cell
- Space group: P4/mmm (123)
- E: -0.4580 Ry per atom
- DOS(E_F): 4.0 states/eV per cell


(5)
NiP2Se | PBE | relaxed

```
4
Lattice="2.9343 0.0000 0.0000 0.0000 4.2606 0.0000 0.0000 0.0000 4.6825" Properties=species:S:1:pos:R:3 pbc="T T T"
Ni 0.0000 0.0000 0.0000
P 0.0000 2.1303 2.3413
P 1.4671 0.0000 2.3413
Se 1.4671 2.1303 0.0000
```

Computed properties:
- Calculated density: 5.7 Mg/m³
- Total moment: 0.00 μB/cell
- Space group: Pmmm (47)
- Formation energy without anion corrections: 0.511 eV per atom
- E: -0.3315 Ry per atom
- DOS(E_F): 2.1 states/eV per cell


(6)
Be2TlCd | PBE | relaxed

```
8
Lattice="2.9567 0.0000 0.0000 0.0000 5.8778 0.0000 0.0000 0.0000 8.5033" Properties=species:S:1:pos:R:3 pbc="T T T"
Be 0.0000 0.0000 2.0687
Be 0.0000 0.0000 6.4346
Be 1.4783 2.9389 2.0687
Be 1.4783 2.9389 6.4346
Tl 0.0000 2.9389 4.2516
Tl 1.4783 0.0000 4.2516
Cd 0.0000 2.9389 0.0000
Cd 1.4783 0.0000 0.0000
```

Computed properties:
- Energy of formation from the pure elements: 741 meV/atom
- Calculated density: 7.5 Mg/m³
- Total moment: 0.00 μB/cell
- Space group: Cmmm (65)
- E: -0.1427 Ry per atom
- Energy above the lowest structure with this stoichiometry: 0.2771 eV/atom
- DOS(E_F): 2.8 states/eV per cell


(7)
CaSnIF2 | PBE | relaxed

```
5
Lattice="4.5599 0.0000 0.0000 0.0000 4.5599 0.0000 0.0000 0.0000 6.5237" Properties=species:S:1:pos:R:3 pbc="T T T"
Ca 0.0000 0.0000 0.0000
Sn 0.0000 0.0000 3.2619
I 2.2799 2.2799 0.0000
F 0.0000 2.2799 3.2619
F 2.2799 0.0000 3.2619
```

Computed properties:
- Calculated density: 4.0 Mg/m³
- Total moment: 0.00 μB/cell
- Space group: P4/mmm (123)
- Formation energy without anion corrections: -1.717 eV per atom
- E: -0.2923 Ry per atom
- DOS(E_F): 1.5 states/eV per cell


(8)
Ca3Si2Sb2Au4 | PBE | relaxed

```
11
Lattice="-2.3559 2.3559 12.9144 2.3559 -2.3559 12.9144 2.3559 2.3559 -12.9144" Properties=species:S:1:pos:R:3 pbc="T T T"
Ca 0.0000 0.0000 0.0000
Ca 0.0000 0.0000 4.5102
Ca 0.0000 0.0000 21.3187
Si 0.0000 0.0000 10.3573
Si 0.0000 0.0000 15.4715
Sb 0.0000 0.0000 7.7972
Sb 0.0000 0.0000 18.0317
Au 2.3559 0.0000 1.9719
Au 2.3559 0.0000 10.9425
Au 0.0000 2.3559 1.9719
Au 0.0000 2.3559 10.9425
```

Computed properties:
- Calculated density: 7.0 Mg/m³
- Total moment: 0.00 μB/cell
- Space group: I4/mmm (139)
- Formation energy without anion corrections: -0.472 eV per atom
- E: -0.2900 Ry per atom
- DOS(E_F): 2.5 states/eV per cell


(9)
InFeAg2 | PBE | relaxed

```
4
Lattice="4.0103 0.0000 0.0000 0.0000 4.0103 0.0000 0.0000 0.0000 4.3321" Properties=species:S:1:pos:R:3 pbc="T T T"
In 0.0000 0.0000 0.0000
Fe 2.0051 2.0051 0.0000
Ag 0.0000 2.0051 2.1661
Ag 2.0051 0.0000 2.1661
```

Computed properties:
- Energy of formation from the pure elements: 234 meV/atom
- Calculated density: 9.2 Mg/m³
- Total moment: 2.44 μB/cell
- Space group: P4/mmm (123)
- E: -0.2934 Ry per atom
- DOS(E_F): 3.5 states/eV per cell


(10)
Zn2CoRe | PBE | relaxed

```
8
Lattice="3.6685 0.0000 0.0000 0.0000 3.6685 0.0000 0.0000 0.0000 8.0049" Properties=species:S:1:pos:R:3 pbc="T T T"
Zn 0.0000 1.8343 2.0012
Zn 0.0000 1.8343 6.0037
Zn 1.8343 0.0000 2.0012
Zn 1.8343 0.0000 6.0037
Co 0.0000 0.0000 0.0000
Co 1.8343 1.8343 4.0024
Re 0.0000 0.0000 4.0024
Re 1.8343 1.8343 0.0000
```

Computed properties:
- Energy of formation from the pure elements: 306 meV/atom
- Calculated density: 11.6 Mg/m³
- Total moment: 4.31 μB/cell
- Space group: I4/mmm (139)
- E: -0.3836 Ry per atom
- Energy above the lowest structure with this stoichiometry: 0.2888 eV/atom
- DOS(E_F): 8.5 states/eV per cell


(11)
ZrAgSe2Br | PBE | relaxed

```
5
Lattice="5.2397 0.0000 0.0000 0.0000 5.2397 0.0000 0.0000 0.0000 5.3364" Properties=species:S:1:pos:R:3 pbc="T T T"
Zr 0.0000 0.0000 0.0000
Ag 2.6198 2.6198 2.6682
Se 0.0000 2.6198 0.0000
Se 2.6198 0.0000 0.0000
Br 0.0000 0.0000 2.6682
```

Computed properties:
- Calculated density: 5.0 Mg/m³
- Total moment: 0.00 μB/cell
- Space group: P4/mmm (123)
- Formation energy without anion corrections: -0.467 eV per atom
- E: -0.3289 Ry per atom
- Energy above the lowest structure with this stoichiometry: 0.0000 eV/atom
- DOS(E_F): 1.9 states/eV per cell


(12)
AgPIr4 | PBE | relaxed

```
6
Lattice="0.0000 3.6811 3.6811 3.6811 0.0000 3.6811 3.6811 3.6811 0.0000" Properties=species:S:1:pos:R:3 pbc="T T T"
Ag 0.0000 0.0000 0.0000
P 1.8406 1.8406 1.8406
Ir 4.6000 2.7623 2.7623
Ir 2.7623 4.6000 2.7623
Ir 2.7623 2.7623 4.6000
Ir 4.6000 4.6000 4.6000
```

Computed properties:
- Energy of formation from the pure elements: 726 meV/atom
- Calculated density: 15.1 Mg/m³
- Total moment: 0.00 μB/cell
- Space group: F-43m (216)
- E: -0.4820 Ry per atom
- DOS(E_F): 7.6 states/eV per cell